A PBEsol-optimized structure of BeCoSeN2. Source: Alexandria via LeMat-Bulk, functional SCAN.

Calculated values
* raw formation energy: 0.987 eV/atom

Unit cell a=3.4705 b=3.4705 c=5.2112 alpha=90.00 beta=90.00 gamma=90.00
Closest atoms and distances in Å follow each position.
Space group P4/mmm (No. 123)
Symmetry-distinct sites (fractional):
1 Be 0.0000 0.0000 0.0000 (multiplicity 1)  4 Se 2.45
2 Co 0.5000 0.5000 0.5000 (multiplicity 1)  4 N 1.74
3 Se 0.5000 0.5000 0.0000 (multiplicity 1)  4 Be 2.45, 2 Co 2.61
4 N 0.0000 0.5000 0.5000 (multiplicity 2)  2 Co 1.74